Density functional theory data (PBE) for a relaxed structure of ZrTePN2.

Structure (CIF):
```
data_ZrTePN2
_chemical_formula_sum 'Zr1 Te1 P1 N2'
_space_group_name_H-M_alt 'P 4/m m m'
_space_group_IT_number 123
_space_group_name_Hall '-P 4 2'
_cell_length_a 4.111
_cell_length_b 4.111
_cell_length_c 6.277
_cell_angle_alpha 90.00
_cell_angle_beta 90.00
_cell_angle_gamma 90.00
loop_
_atom_site_label
_atom_site_type_symbol
_atom_site_fract_x
_atom_site_fract_y
_atom_site_fract_z
Zr1 Zr 0.000 0.000 0.000
Te1 Te 0.000 0.000 0.500
P1 P 0.500 0.500 0.500
N1 N 0.000 0.500 0.000
```

Summary:
The magnetic moment comes out at 0.657 Bohr magnetons per cell. The value obtained for the total energy is -6.044 eV per atom.